Entry 1:
This record from Alexandria via LeMat-Bulk describes an optimized crystal structure of BaDyMgCd. The functional is PBE.

Output
Energy = -9.3 eV/cell

Cell and atoms, written as CIF:
```
data_BaDyMgCd
_space_group_name_H-M_alt 'P 1'
_space_group_IT_number 1
_space_group_name_Hall 'P 1'
_cell_length_a 5.677
_cell_length_b 5.677
_cell_length_c 5.677
_cell_angle_alpha 60.00
_cell_angle_beta 60.00
_cell_angle_gamma 60.00
loop_
_atom_site_label
_atom_site_type_symbol
_atom_site_fract_x
_atom_site_fract_y
_atom_site_fract_z
Ba1 Ba 0.750 0.750 0.750
Cd1 Cd 0.000 0.000 0.000
Dy1 Dy 0.250 0.250 0.250
Mg1 Mg 0.500 0.500 0.500
```


Entry 2:
This record from Alexandria via LeMat-Bulk describes an optimized crystal structure of Na3HoNp2S6. The functional is PBE.

Output
Uncorrected formation energy = -1507 meV/atom
Energy = -77.3 eV/cell

Cell and atoms, written as CIF:
```
data_Na3HoNp2S6
_space_group_name_H-M_alt 'P 1'
_space_group_IT_number 1
_space_group_name_Hall 'P 1'
_cell_length_a 6.930
_cell_length_b 6.930
_cell_length_c 7.058
_cell_angle_alpha 99.42
_cell_angle_beta 99.42
_cell_angle_gamma 120.00
loop_
_atom_site_label
_atom_site_type_symbol
_atom_site_fract_x
_atom_site_fract_y
_atom_site_fract_z
S1 S 0.924 0.592 0.773
S2 S 0.744 0.744 0.227
S3 S 0.592 0.924 0.773
S4 S 0.408 0.076 0.227
S5 S 0.076 0.408 0.227
S6 S 0.256 0.256 0.773
Na1 Na 0.834 0.166 0.500
Na2 Na 0.166 0.834 0.500
Na3 Na 0.500 0.500 0.500
Ho1 Ho 0.000 0.000 0.000
Np1 Np 0.333 0.667 0.000
Np2 Np 0.667 0.333 0.000
```


Entry 3:
This record from Alexandria via LeMat-Bulk describes an optimized crystal structure of Ag12SbAu7. The functional is PBE.

Output
Uncorrected formation energy = 44 meV/atom
Energy = -60.4 eV/cell

Cell and atoms, written as CIF:
```
data_Ag12SbAu7
_space_group_name_H-M_alt 'P 1'
_space_group_IT_number 1
_space_group_name_Hall 'P 1'
_cell_length_a 7.372
_cell_length_b 7.372
_cell_length_c 7.372
_cell_angle_alpha 101.71
_cell_angle_beta 101.71
_cell_angle_gamma 101.71
loop_
_atom_site_label
_atom_site_type_symbol
_atom_site_fract_x
_atom_site_fract_y
_atom_site_fract_z
Ag1 Ag 0.599 0.599 0.178
Ag2 Ag 0.737 0.263 0.000
Ag3 Ag 0.599 0.178 0.599
Ag4 Ag 0.401 0.401 0.822
Ag5 Ag 0.178 0.599 0.599
Ag6 Ag 0.822 0.401 0.401
Ag7 Ag 0.000 0.737 0.263
Ag8 Ag 0.263 0.000 0.737
Ag9 Ag 0.263 0.737 0.000
Ag10 Ag 0.737 0.000 0.263
Ag11 Ag 0.401 0.822 0.401
Ag12 Ag 0.000 0.263 0.737
Au1 Au 0.500 0.500 0.500
Au2 Au 0.575 0.835 0.835
Au3 Au 0.425 0.165 0.165
Au4 Au 0.835 0.835 0.575
Au5 Au 0.165 0.165 0.425
Au6 Au 0.165 0.425 0.165
Au7 Au 0.835 0.575 0.835
Sb1 Sb 0.000 0.000 0.000
```


Entry 4:
This record from Alexandria via LeMat-Bulk describes an optimized crystal structure of Ca3TbEr2Se6. The functional is PBE.

Output
Uncorrected formation energy = -1862 meV/atom
Energy = -63.0 eV/cell

Cell and atoms, written as CIF:
```
data_Ca3TbEr2Se6
_space_group_name_H-M_alt 'P 1'
_space_group_IT_number 1
_space_group_name_Hall 'P 1'
_cell_length_a 7.096
_cell_length_b 7.096
_cell_length_c 7.212
_cell_angle_alpha 99.47
_cell_angle_beta 99.47
_cell_angle_gamma 119.94
loop_
_atom_site_label
_atom_site_type_symbol
_atom_site_fract_x
_atom_site_fract_y
_atom_site_fract_z
Se1 Se 0.081 0.418 0.244
Se2 Se 0.256 0.256 0.756
Se3 Se 0.919 0.582 0.756
Se4 Se 0.418 0.081 0.244
Se5 Se 0.582 0.919 0.756
Se6 Se 0.744 0.744 0.244
Er1 Er 0.333 0.667 0.000
Er2 Er 0.667 0.333 0.000
Ca1 Ca 0.834 0.166 0.500
Ca2 Ca 0.166 0.834 0.500
Ca3 Ca 0.500 0.500 0.500
Tb1 Tb 0.000 0.000 0.000
```


Entry 5:
This record from Alexandria via LeMat-Bulk describes an optimized crystal structure of Sr2BiS. The functional is PBE.

Output
Uncorrected formation energy = -999 meV/atom
Energy = -15.4 eV/cell

Cell and atoms, written as CIF:
```
data_Sr2BiS
_space_group_name_H-M_alt 'P 1'
_space_group_IT_number 1
_space_group_name_Hall 'P 1'
_cell_length_a 5.615
_cell_length_b 5.615
_cell_length_c 5.615
_cell_angle_alpha 60.00
_cell_angle_beta 60.00
_cell_angle_gamma 60.00
loop_
_atom_site_label
_atom_site_type_symbol
_atom_site_fract_x
_atom_site_fract_y
_atom_site_fract_z
Sr1 Sr 0.250 0.250 0.250
Sr2 Sr 0.750 0.750 0.750
Bi1 Bi 0.500 0.500 0.500
S1 S 0.000 0.000 0.000
```


Entry 6:
This record from Alexandria via LeMat-Bulk describes an optimized crystal structure of NpSe4. The functional is PBE.

Output
Uncorrected formation energy = -21 meV/atom
Energy = -27.0 eV/cell

Cell and atoms, written as CIF:
```
data_NpSe4
_space_group_name_H-M_alt 'P 1'
_space_group_IT_number 1
_space_group_name_Hall 'P 1'
_cell_length_a 5.379
_cell_length_b 5.379
_cell_length_c 5.379
_cell_angle_alpha 90.00
_cell_angle_beta 90.00
_cell_angle_gamma 90.00
loop_
_atom_site_label
_atom_site_type_symbol
_atom_site_fract_x
_atom_site_fract_y
_atom_site_fract_z
Se1 Se 0.500 0.000 0.500
Se2 Se 0.000 0.500 0.500
Se3 Se 0.000 0.000 0.000
Se4 Se 0.500 0.500 0.000
Np1 Np 0.500 0.500 0.500
```


Entry 7:
This record from Alexandria via LeMat-Bulk describes an optimized crystal structure of Ta2SiHg. The functional is PBE.

Output
Uncorrected formation energy = 641 meV/atom
Energy = -26.9 eV/cell

Cell and atoms, written as CIF:
```
data_Ta2SiHg
_space_group_name_H-M_alt 'P 1'
_space_group_IT_number 1
_space_group_name_Hall 'P 1'
_cell_length_a 4.669
_cell_length_b 4.669
_cell_length_c 4.669
_cell_angle_alpha 60.00
_cell_angle_beta 60.00
_cell_angle_gamma 60.00
loop_
_atom_site_label
_atom_site_type_symbol
_atom_site_fract_x
_atom_site_fract_y
_atom_site_fract_z
Ta1 Ta 0.750 0.750 0.750
Ta2 Ta 0.000 0.000 0.000
Si1 Si 0.250 0.250 0.250
Hg1 Hg 0.500 0.500 0.500
```


Entry 8:
This record from Alexandria via LeMat-Bulk describes an optimized crystal structure of AcNdTeAu. The functional is PBE.

Output
Uncorrected formation energy = -862 meV/atom
Energy = -18.7 eV/cell

Cell and atoms, written as CIF:
```
data_AcNdTeAu
_space_group_name_H-M_alt 'P 1'
_space_group_IT_number 1
_space_group_name_Hall 'P 1'
_cell_length_a 5.537
_cell_length_b 5.537
_cell_length_c 5.537
_cell_angle_alpha 60.00
_cell_angle_beta 60.00
_cell_angle_gamma 60.00
loop_
_atom_site_label
_atom_site_type_symbol
_atom_site_fract_x
_atom_site_fract_y
_atom_site_fract_z
Te1 Te 0.250 0.250 0.250
Au1 Au 0.750 0.750 0.750
Ac1 Ac 0.500 0.500 0.500
Nd1 Nd 0.000 0.000 0.000
```


Entry 9:
This record from Alexandria via LeMat-Bulk describes an optimized crystal structure of Ac4CdHg. The functional is PBE.

Output
Energy = -18.0 eV/cell

Cell and atoms, written as CIF:
```
data_Ac4CdHg
_space_group_name_H-M_alt 'P 1'
_space_group_IT_number 1
_space_group_name_Hall 'P 1'
_cell_length_a 5.596
_cell_length_b 5.597
_cell_length_c 7.927
_cell_angle_alpha 89.98
_cell_angle_beta 89.99
_cell_angle_gamma 90.00
loop_
_atom_site_label
_atom_site_type_symbol
_atom_site_fract_x
_atom_site_fract_y
_atom_site_fract_z
Ac1 Ac 0.501 0.997 0.250
Ac2 Ac 0.001 0.497 0.746
Ac3 Ac 0.501 0.998 0.746
Ac4 Ac 0.001 0.497 0.251
Cd1 Cd 0.501 0.497 0.998
Hg1 Hg 0.001 0.997 0.498
```


Entry 10:
This record from Alexandria via LeMat-Bulk describes an optimized crystal structure of Co3Ir4Os. The functional is PBE.

Output
Energy = -67.7 eV/cell

Cell and atoms, written as CIF:
```
data_Co3Ir4Os
_space_group_name_H-M_alt 'P 1'
_space_group_IT_number 1
_space_group_name_Hall 'P 1'
_cell_length_a 3.789
_cell_length_b 3.789
_cell_length_c 7.830
_cell_angle_alpha 104.00
_cell_angle_beta 104.00
_cell_angle_gamma 90.00
loop_
_atom_site_label
_atom_site_type_symbol
_atom_site_fract_x
_atom_site_fract_y
_atom_site_fract_z
Co1 Co 0.000 0.500 0.000
Co2 Co 0.246 0.746 0.494
Co3 Co 0.754 0.254 0.506
Os1 Os 0.500 0.000 0.000
Ir1 Ir 0.873 0.873 0.746
Ir2 Ir 0.627 0.627 0.254
Ir3 Ir 0.127 0.127 0.254
Ir4 Ir 0.373 0.373 0.746
```


Entry 11:
This record from Alexandria via LeMat-Bulk describes an optimized crystal structure of TbPm4S7. The functional is PBE.

Output
Uncorrected formation energy = -2070 meV/atom
Energy = -77.4 eV/cell

Cell and atoms, written as CIF:
```
data_TbPm4S7
_space_group_name_H-M_alt 'P 1'
_space_group_IT_number 1
_space_group_name_Hall 'P 1'
_cell_length_a 3.911
_cell_length_b 6.887
_cell_length_c 11.834
_cell_angle_alpha 104.35
_cell_angle_beta 90.00
_cell_angle_gamma 106.49
loop_
_atom_site_label
_atom_site_type_symbol
_atom_site_fract_x
_atom_site_fract_y
_atom_site_fract_z
Tb1 Tb 0.888 0.776 0.578
S1 S 0.040 0.081 0.781
S2 S 0.742 0.484 0.355
S3 S 0.958 0.917 0.215
S4 S 0.339 0.679 0.948
S5 S 0.497 0.994 0.502
S6 S 0.660 0.319 0.051
S7 S 0.264 0.529 0.648
Pm1 Pm 0.112 0.223 0.423
Pm2 Pm 0.699 0.398 0.809
Pm3 Pm 0.301 0.602 0.191
Pm4 Pm 0.000 0.999 0.998
```


Entry 12:
This record from Alexandria via LeMat-Bulk describes an optimized crystal structure of BaCrRh2. The functional is PBE.

Output
Energy = -24.8 eV/cell

Cell and atoms, written as CIF:
```
data_BaCrRh2
_space_group_name_H-M_alt 'P 1'
_space_group_IT_number 1
_space_group_name_Hall 'P 1'
_cell_length_a 4.294
_cell_length_b 3.147
_cell_length_c 6.390
_cell_angle_alpha 83.56
_cell_angle_beta 90.00
_cell_angle_gamma 90.00
loop_
_atom_site_label
_atom_site_type_symbol
_atom_site_fract_x
_atom_site_fract_y
_atom_site_fract_z
Cr1 Cr 0.500 0.683 0.892
Rh1 Rh 0.500 0.117 0.196
Rh2 Rh 0.000 0.140 0.944
Ba1 Ba 0.000 0.560 0.468
```


Number 1: density of states at the Fermi level 2.9 states/eV/f.u.. Number 2: density of states at the Fermi level 21.0 states/eV/f.u.. Number 3: density of states at the Fermi level 5.5 states/eV/f.u.. Number 4: density of states at the Fermi level 4.4 states/eV/f.u.. Number 5: density of states at the Fermi level 6.6 states/eV/f.u.. Number 6: density of states at the Fermi level 8.6 states/eV/f.u.. Number 7: density of states at the Fermi level 2.3 states/eV/f.u.. Number 8: density of states at the Fermi level 4.5 states/eV/f.u.. Number 9: density of states at the Fermi level 9.0 states/eV/f.u.. Number 10: density of states at the Fermi level 8.2 states/eV/f.u.. Number 11: density of states at the Fermi level 1.3 states/eV/f.u.. Number 12: density of states at the Fermi level 4.3 states/eV/f.u..